Run A
VASP calculation (GGA-PBE) on a relaxed HfGaB4 crystal.

```
6
Lattice="3.705 -1.689 2.483 3.340 3.272 -0.939 -4.215 -0.565 2.157" Properties=species:S:1:pos:R:3 pbc="T T T"
B 1.559 -0.359 1.918
B 1.387 -1.118 3.481
B 1.442 2.136 0.221
B 1.270 1.377 1.784
Hf 3.522 0.792 0.772
Ga 0.000 0.000 0.000
```

Calculated values
Calculated density: 8.17 g/cm3

---

Run B
VASP calculation (GGA-PBE) on a relaxed HfGaB4 crystal.

```
6
Lattice="-1.521 -2.536 -0.936 0.841 0.296 2.971 -6.373 3.277 1.476" Properties=species:S:1:pos:R:3 pbc="T T T"
Hf 0.000 0.000 0.000
B -2.260 -0.807 0.720
B -5.580 0.900 1.489
B -4.793 1.844 2.792
B -1.473 0.137 2.022
Ga -3.186 1.639 0.738
```

Calculated values
Calculated density: 7.94 g/cm3

---

Energy ordering: run A at the bottom, the next structure 2.8 kJ/mol of atoms above.

---

Run A
VASP calculation (GGA-PBE) on a relaxed GaHgB4 crystal.

```
6
Lattice="3.018 0.000 0.000 -1.509 2.613 0.000 0.000 0.000 9.137" Properties=species:S:1:pos:R:3 pbc="T T T"
Hg 0.000 0.000 4.568
B 1.509 0.871 1.680
B 1.509 0.871 7.456
B 0.000 1.742 1.680
B 0.000 1.742 7.456
Ga 0.000 0.000 0.000
```

Calculated values
Calculated density: 7.23 g/cm3

---

Run B
VASP calculation (GGA-PBE) on a relaxed GaHgB4 crystal.

```
6
Lattice="-1.537 2.645 4.168 1.537 -2.645 4.168 1.537 2.645 -4.168" Properties=species:S:1:pos:R:3 pbc="T T T"
Ga 0.000 0.000 0.000
B 0.000 3.537 2.161
B 0.000 1.753 2.161
B 1.537 -0.892 2.007
B 1.537 0.892 2.007
Hg 0.000 0.000 4.168
```

Calculated values
Calculated density: 7.68 g/cm3

---

Energy ordering: run A at the bottom, the next structure 12.6 kJ/mol of atoms above.

---

Run A
VASP calculation (GGA-PBE) on a relaxed HoGaB4 crystal.

```
6
Lattice="3.052 -2.681 -2.922 1.567 -3.796 2.860 -4.083 1.994 -2.096" Properties=species:S:1:pos:R:3 pbc="T T T"
Ho 2.310 -3.239 -0.031
B 0.400 -2.000 -3.403
B 0.761 -1.760 -1.646
B -0.225 -2.723 -0.513
B 0.136 -2.482 1.244
Ga 0.000 0.000 0.000
```

Calculated values
Calculated density: 7.04 g/cm3

---

Run B
VASP calculation (GGA-PBE) on a relaxed HoGaB4 crystal.

```
6
Lattice="-2.640 0.783 -1.546 -0.066 -2.280 2.184 -1.532 4.955 5.128" Properties=species:S:1:pos:R:3 pbc="T T T"
B -2.102 2.550 4.882
B -1.279 -0.113 2.127
B -2.960 3.571 3.639
B -2.137 0.908 0.884
Ga 0.000 0.000 0.000
Ho -0.766 2.478 2.564
```

Calculated values
Calculated density: 7.33 g/cm3

---

Energy ordering: run A at the bottom, the next structure 14.7 kJ/mol of atoms above.

---

Run A
VASP calculation (GGA-PBE) on a relaxed LuGaB crystal.

```
3
Lattice="-2.539 -3.304 -0.340 -0.933 -2.275 3.380 -3.850 0.147 1.621" Properties=species:S:1:pos:R:3 pbc="T T T"
Lu -5.492 -4.074 3.496
B -1.831 -1.358 1.165
Ga 0.000 0.000 0.000
```

Calculated values
Calculated density: 8.21 g/cm3

---

Run B
VASP calculation (GGA-PBE) on a relaxed LuGaB crystal.

```
3
Lattice="0.000 2.871 2.871 2.871 0.000 2.871 2.871 2.871 0.000" Properties=species:S:1:pos:R:3 pbc="T T T"
Ga 1.436 1.436 1.436
Lu 4.307 4.307 4.307
B 0.000 0.000 0.000
```

Calculated values
Calculated density: 8.96 g/cm3

---

Energy ordering: run B at the bottom, the next structure 64.9 kJ/mol of atoms above.